Here is a relaxed Y2NO crystal from the Alexandria database. Energies are from PBE.

Values from the calculation:
Its space group is Pmn2_1 (31). The calculation puts the total energy at -8.64 eV/atom. Its crystal system is orthorhombic. As for the offset from the most stable computed form: 0.2554 eV/atom. As for the formation energy without anion corrections: -8.341 eV per formula unit.

POSCAR file:
```
Y2NO
1.0
3.726 0.000 0.000
0.000 7.482 0.000
0.000 0.000 5.338
Y N O
4 2 2
Direct
0.000 0.119 0.000
0.000 0.627 0.036
0.500 0.373 0.536
0.500 0.881 0.500
0.000 0.380 0.781
0.500 0.620 0.281
0.000 0.865 0.763
0.500 0.135 0.263
```